(1)
Ac6NiRh3 | PBE | relaxed

The density of states at the Fermi level comes out at 12.795 states/eV/cell.

It has space group P2_1/m (No. 11), with a = 12.453 Å, b = 4.287 Å, c = 13.220 Å, α = 90.00°, β = 112.79° and γ = 90.00°. The asymmetric unit holds Ac at (0.055, 0.250, 0.406), Ac at (0.095, 0.750, 0.929), Ac at (0.241, 0.250, 0.760), Ac at (0.246, 0.750, 0.263), Ac at (0.401, 0.250, 0.562), Ac at (0.436, 0.250, 0.102), Ni at (0.192, 0.750, 0.569), Rh at (0.002, 0.250, 0.767), Rh at (0.333, 0.750, 0.934) and Rh at (0.418, 0.250, 0.338).


(2)
Ac3Hg2 | PBE | relaxed

The density of states at the Fermi level comes out at 12.942 states/eV/cell.

It has space group I4/mmm (No. 139), with a = 4.060 Å, b = 4.060 Å, c = 21.659 Å, α = 90.00°, β = 90.00° and γ = 90.00°. The asymmetric unit holds Ac at (0.000, 0.000, 0.000), Ac at (0.000, 0.000, 0.185) and Hg at (0.000, 0.000, 0.405).


(3)
PaTeI6 | PBE | relaxed

The density of states at the Fermi level comes out at 10.009 states/eV/cell.

It has space group C2/m (No. 12), with a = 9.729 Å, b = 13.919 Å, c = 8.506 Å, α = 90.00°, β = 121.86° and γ = 90.00°. The asymmetric unit holds Pa at (0.000, 0.000, 0.000), Te at (0.000, 0.000, 0.500), I at (0.072, 0.151, 0.297) and I at (0.157, 0.500, 0.879).


(4)
SmPaSe3 | PBE | relaxed

The density of states at the Fermi level comes out at 40.693 states/eV/cell.

It has space group C2/c (No. 15), with a = 14.199 Å, b = 11.931 Å, c = 7.010 Å, α = 90.00°, β = 100.71° and γ = 90.00°. The asymmetric unit holds Sm at (0.246, 0.086, 0.319), Pa at (0.000, 0.241, 0.750), Pa at (0.000, 0.421, 0.250), Se at (0.119, 0.251, 0.461), Se at (0.120, 0.079, 0.946) and Se at (0.125, 0.411, 0.967).


(5)
CuHgTe2 | PBE | relaxed

The density of states at the Fermi level comes out at 7.570 states/eV/cell.

It has space group R3m (No. 160, hexagonal axes), with a = 4.3777 Å, b = 4.3777 Å, c = 21.9999 Å, α = 90.00°, β = 90.00° and γ = 120.00°. The asymmetric unit holds Cu at (0.0000, 0.0000, 0.0000), Hg at (0.0000, 0.0000, 0.4896), Te at (0.0000, 0.0000, 0.3625) and Te at (0.0000, 0.0000, 0.8832).


(6)
CaTlNi2S | PBE | relaxed

The density of states at the Fermi level comes out at 16.202 states/eV/cell.

It has space group P4/mmm (No. 123), with a = 5.020 Å, b = 5.020 Å, c = 5.149 Å, α = 90.00°, β = 90.00° and γ = 90.00°. The asymmetric unit holds Ca at (0.000, 0.000, 0.000), Tl at (0.500, 0.500, 0.500), Ni at (0.000, 0.500, 0.000) and S at (0.000, 0.000, 0.500).


(7)
DyTm6Zr2 | PBE | relaxed

The density of states at the Fermi level comes out at 24.413 states/eV/cell.

It has space group C2/m (No. 12), with a = 12.610 Å, b = 3.536 Å, c = 12.051 Å, α = 90.00°, β = 105.77° and γ = 90.00°. The asymmetric unit holds Dy at (0.000, 0.000, 0.000), Tm at (0.024, 0.000, 0.704), Tm at (0.149, 0.500, 0.530), Tm at (0.212, 0.500, 0.887) and Zr at (0.176, 0.500, 0.263).


(8)
KCuTeBr6 | PBE | relaxed

It has space group P1 (No. 1), with a = 6.866 Å, b = 7.229 Å, c = 7.476 Å, α = 86.69°, β = 62.72° and γ = 82.71°. The asymmetric unit holds K at (0.000, 0.000, 0.000), Cu at (0.602, 0.499, 0.797), Te at (0.310, 0.500, 0.379), Br at (0.006, 0.789, 0.410), Br at (0.313, 0.314, 0.059), Br at (0.393, 0.686, 0.652), Br at (0.585, 0.211, 0.409), Br at (0.628, 0.686, 0.059) and Br at (0.956, 0.314, 0.652).


Taking the records one at a time from the top gives mass density values of 8.8 10.1 3.8 7.0 7.1 5.0 8.7 3.6 g cm⁻³.
Taking the records one at a time from the top gives DFT total energy values of -5.7519 -2.9556 -3.3251 -6.4040 -2.7340 -3.2020 -5.2858 -2.6731 eV/atom.